! Nd2NiOsO8, optimized geometry, DFT PBE with a Hubbard U; values from VASP
&SYSTEM
  ibrav = 0, nat = 12, ntyp = 4
/
ATOMIC_SPECIES
Nd 144.24 Nd.upf
Ni 58.69 Ni.upf
Os 190.23 Os.upf
O 16.00 O.upf
CELL_PARAMETERS angstrom
0.010 -1.231 -4.031
-2.153 -4.518 2.022
-6.658 2.051 -0.098
ATOMIC_POSITIONS crystal
Nd 0.320 0.520 0.731
Nd 0.680 0.480 0.269
Ni 0.000 0.000 0.500
Os 0.000 0.000 0.000
O 0.229 0.779 0.163
O 0.702 0.723 0.958
O 0.792 0.054 0.224
O 0.771 0.221 0.837
O 0.298 0.277 0.042
O 0.208 0.946 0.776
O 0.788 0.673 0.555
O 0.212 0.327 0.445
! Theoretical density, g/cm³: 7.09
! Electronic total energy, eV for the cell shown: -85.67
! SG: P-1, No. 2